VASP calculation (PBE) on Tm6InS3 after structural relaxation.

Summary:
The calculation puts the density of states at the Fermi level at 0.709 states/eV per atom. Its total DFT energy (no corrections) is -5.3772 eV/atom. Its total moment is 0.00 μB/f.u.

Cell: 3.702 11.286 11.890 Å, 103.77 90.00 90.00°
Positions (direct):
Tm1 0.750 0.531 0.641
Tm2 0.250 0.469 0.359
Tm3 0.750 0.917 0.096
Tm4 0.250 0.083 0.904
Tm5 0.750 0.370 0.045
Tm6 0.250 0.630 0.955
Tm7 0.750 0.702 0.247
Tm8 0.250 0.298 0.753
Tm9 0.750 0.185 0.471
Tm10 0.250 0.815 0.529
Tm11 0.750 0.820 0.775
Tm12 0.250 0.180 0.225
In1 0.750 0.049 0.674
In2 0.250 0.951 0.326
S1 0.750 0.464 0.852
S2 0.250 0.536 0.148
S3 0.750 0.634 0.451
S4 0.250 0.366 0.549
S5 0.750 0.141 0.064
S6 0.250 0.859 0.936